Record 1
Crystalline PrNiHg at its relaxed geometry. Source: Alexandria, functional PBE-GGA.

Lattice parameters (Å, degrees): 3.590 3.590 5.737 108.23 108.23 90.00
Atoms (fractional coordinates):
Hg 0.638 0.638 0.276
Pr 0.936 0.936 0.871
Ni 0.276 0.276 0.553

- Magnetic moment: 0.0 μB per formula unit
- Energy relative to the elements: -187 meV/atom
- Space-group type: I4mm, No. 107

Record 2
Crystalline TiHIr2 at its relaxed geometry. Source: Alexandria, functional PBE-GGA.

Lattice parameters (Å, degrees): 6.182 6.182 5.055 52.31 52.31 90.00
Atoms (fractional coordinates):
Ir 0.875 0.781 0.750
Ir 0.531 0.125 0.250
Ir 0.375 0.469 0.750
Ir 0.219 0.625 0.250
H 0.500 0.500 0.000
H 0.250 0.750 0.500
Ti 0.000 0.000 0.000
Ti 0.750 0.250 0.500

- E above lowest polymorph: 0.000 eV per formula unit
- Magnetic moment: 0.0 μB per formula unit
- Space-group type: I-42d, No. 122

Record 3
Crystalline CuRhBr at its relaxed geometry. Source: Alexandria, functional PBE-GGA.

Lattice parameters (Å, degrees): 3.474 3.495 10.155 90.00 90.00 119.80
Atoms (fractional coordinates):
Cu 0.443 0.886 0.000
Cu 0.446 0.892 0.500
Rh 0.111 0.223 0.858
Rh 0.111 0.223 0.142
Br 0.777 0.555 0.326
Br 0.777 0.555 0.674

- E above lowest polymorph: 0.000 eV per formula unit
- Magnetic moment: 0.7 μB per formula unit
- Energy relative to the elements, uncorrected: 0.413 eV per atom
- Space-group type: Amm2, No. 38

Record 4
Crystalline Sr2NiSb at its relaxed geometry. Source: Alexandria, functional PBE-GGA.

Lattice parameters (Å, degrees): 4.554 4.744 6.180 67.44 90.00 90.00
Atoms (fractional coordinates):
Sb 0.500 0.570 0.735
Ni 0.000 0.676 0.524
Sr 0.000 0.985 0.904
Sr 0.500 0.269 0.337

- Magnetic moment: 0.0 μB per formula unit
- Energy relative to the elements, uncorrected: -0.491 eV per atom
- Space-group type: Pm, No. 6

Record 5
Crystalline LiSn2W at its relaxed geometry. Source: Alexandria, functional PBE-GGA.

Lattice parameters (Å, degrees): 4.312 4.312 9.807 77.30 77.30 90.00
Atoms (fractional coordinates):
W 0.750 0.250 0.500
W 0.000 0.000 0.000
Sn 0.625 0.125 0.250
Sn 0.125 0.625 0.250
Sn 0.375 0.375 0.750
Sn 0.875 0.875 0.750
Li 0.250 0.750 0.500
Li 0.500 0.500 0.000

- E above lowest polymorph: 1.642 eV per formula unit
- Magnetic moment: 0.9 μB per formula unit
- Energy relative to the elements: 790 meV/atom
- Space-group type: I-42d, No. 122

Record 6
Crystalline RbPmAlTe4 at its relaxed geometry. Source: Alexandria, functional PBE-GGA.

Lattice parameters (Å, degrees): 7.757 6.603 10.503 90.00 106.82 90.00
Atoms (fractional coordinates):
Te 0.984 0.009 0.289
Te 0.423 0.750 0.583
Te 0.984 0.491 0.289
Te 0.016 0.509 0.711
Te 0.577 0.250 0.417
Te 0.016 0.991 0.711
Te 0.552 0.250 0.834
Te 0.448 0.750 0.166
Al 0.259 0.750 0.329
Al 0.741 0.250 0.671
Pm 0.749 0.750 0.448
Pm 0.251 0.250 0.552
Rb 0.750 0.750 0.946
Rb 0.250 0.250 0.054

- Magnetic moment: 0.0 μB per formula unit
- Energy relative to the elements, uncorrected: -0.948 eV per atom
- Space-group type: P2_1/m, No. 11